A) Below is an optimized crystal structure of Cs3AsS4, with properties calculated at the PBE-GGA level.

Cell: 9.907 11.876 10.006 Å, 90.00 90.00 90.00°
Sites, in units of the cell vectors:
1 Cs 0.042 0.043 0.205
2 Cs 0.042 0.457 0.205
3 Cs 0.151 0.750 0.414
4 Cs 0.349 0.250 0.914
5 Cs 0.458 0.543 0.705
6 Cs 0.458 0.957 0.705
7 Cs 0.542 0.043 0.295
8 Cs 0.542 0.457 0.295
9 Cs 0.651 0.750 0.086
10 Cs 0.849 0.250 0.586
11 Cs 0.958 0.543 0.795
12 Cs 0.958 0.957 0.795
13 As 0.227 0.750 0.982
14 As 0.273 0.250 0.482
15 As 0.727 0.750 0.518
16 As 0.773 0.250 0.018
17 S 0.024 0.750 0.072
18 S 0.166 0.097 0.543
19 S 0.166 0.403 0.543
20 S 0.210 0.750 0.762
21 S 0.290 0.250 0.262
22 S 0.334 0.597 0.043
23 S 0.334 0.903 0.043
24 S 0.476 0.250 0.572
25 S 0.524 0.750 0.428
26 S 0.666 0.097 0.957
27 S 0.666 0.403 0.957
28 S 0.710 0.750 0.738
29 S 0.790 0.250 0.238
30 S 0.834 0.597 0.457
31 S 0.834 0.903 0.457
32 S 0.976 0.250 0.928

For the density of states at the Fermi level, the calculation gives 0.00 states/eV per cell. The total magnetization is 0.0 μB/cell.

***

B) Below is an optimized crystal structure of Cs3AsS4, with properties calculated at the PBE-GGA level.

Cell: 10.898 7.664 7.931 Å, 90.00 90.00 90.00°
Sites, in units of the cell vectors:
1 Cs 0.000 0.035 0.000
2 Cs 0.226 0.365 0.445
3 Cs 0.274 0.635 0.945
4 Cs 0.500 0.965 0.500
5 Cs 0.726 0.635 0.945
6 Cs 0.774 0.365 0.445
7 As 0.000 0.833 0.481
8 As 0.500 0.167 0.981
9 S 0.000 0.100 0.578
10 S 0.000 0.642 0.689
11 S 0.167 0.802 0.328
12 S 0.333 0.198 0.828
13 S 0.500 0.358 0.189
14 S 0.500 0.900 0.078
15 S 0.667 0.198 0.828
16 S 0.833 0.802 0.328

For the density of states at the Fermi level, the calculation gives 0.00 states/eV per cell. The total magnetization is 0.0 μB/cell.

***

Most stable of them? A).

***

A) Below is an optimized crystal structure of Cs2AsS4, with properties calculated at the PBE-GGA level.

Cell: 5.084 5.084 17.022 Å, 90.00 90.00 90.00°
Sites, in units of the cell vectors:
1 Cs 0.000 0.000 0.147
2 Cs 0.000 0.000 0.853
3 Cs 0.500 0.500 0.353
4 Cs 0.500 0.500 0.647
5 As 0.000 0.000 0.500
6 As 0.500 0.500 0.000
7 S 0.000 0.000 0.365
8 S 0.000 0.000 0.635
9 S 0.000 0.500 0.000
10 S 0.000 0.500 0.500
11 S 0.500 0.000 0.000
12 S 0.500 0.000 0.500
13 S 0.500 0.500 0.135
14 S 0.500 0.500 0.865

For the density of states at the Fermi level, the calculation gives 14.34 states/eV per cell. The total magnetization is 3.1 μB/cell.

***

B) Below is an optimized crystal structure of Cs2AsS4, with properties calculated at the PBE-GGA level.

Cell: 7.323 6.249 12.719 Å, 90.00 95.43 90.00°
Sites, in units of the cell vectors:
1 Cs 0.221 0.250 0.433
2 Cs 0.244 0.250 0.930
3 Cs 0.756 0.750 0.070
4 Cs 0.779 0.750 0.567
5 As 0.286 0.750 0.244
6 As 0.714 0.250 0.756
7 S 0.024 0.750 0.322
8 S 0.247 0.750 0.072
9 S 0.413 0.082 0.690
10 S 0.413 0.418 0.690
11 S 0.587 0.582 0.310
12 S 0.587 0.918 0.310
13 S 0.753 0.250 0.928
14 S 0.976 0.250 0.678

For the density of states at the Fermi level, the calculation gives 5.75 states/eV per cell. The total magnetization is 0.0 μB/cell.

***

Most stable of them? B).

***

A) Below is an optimized crystal structure of CsAsSe2S, with properties calculated at the PBE-GGA level.

Cell: 5.254 5.254 5.068 Å, 90.00 90.00 90.00°
Sites, in units of the cell vectors:
1 Cs 0.000 0.000 0.000
2 As 0.500 0.500 0.000
3 Se 0.000 0.500 0.500
4 Se 0.500 0.000 0.500
5 S 0.500 0.500 0.500

For the density of states at the Fermi level, the calculation gives 2.62 states/eV per cell. The total magnetization is 1.4 μB/cell.

***

B) Below is an optimized crystal structure of CsAsSe2S, with properties calculated at the PBE-GGA level.

Cell: 5.627 5.627 6.869 Å, 90.00 90.00 90.00°
Sites, in units of the cell vectors:
1 Cs 0.000 0.000 0.000
2 As 0.000 0.000 0.500
3 Se 0.000 0.500 0.000
4 Se 0.500 0.000 0.000
5 S 0.500 0.500 0.500

For the density of states at the Fermi level, the calculation gives 8.16 states/eV per cell. The total magnetization is 2.1 μB/cell.

***

Most stable of them? A).

***

A) Below is an optimized crystal structure of Cs3SbAs, with properties calculated at the PBE-GGA level.

Cell: 8.496 8.496 6.986 Å, 90.00 90.00 98.75°
Sites, in units of the cell vectors:
1 Cs 0.099 0.901 0.500
2 Cs 0.188 0.446 0.680
3 Cs 0.446 0.188 0.180
4 Cs 0.554 0.812 0.680
5 Cs 0.812 0.554 0.180
6 Cs 0.901 0.099 0.000
7 Sb 0.348 0.652 0.181
8 Sb 0.652 0.348 0.681
9 As 0.177 0.823 0.983
10 As 0.823 0.177 0.483

For the density of states at the Fermi level, the calculation gives 11.76 states/eV per cell. The total magnetization is 1.9 μB/cell.

***

B) Below is an optimized crystal structure of Cs3SbAs, with properties calculated at the PBE-GGA level.

Cell: 6.874 6.874 6.874 Å, 90.00 90.00 90.00°
Sites, in units of the cell vectors:
1 Cs 0.000 0.000 0.500
2 Cs 0.000 0.500 0.000
3 Cs 0.500 0.000 0.000
4 Sb 0.500 0.500 0.500
5 As 0.000 0.000 0.000

For the density of states at the Fermi level, the calculation gives 11.14 states/eV per cell. The total magnetization is 0.4 μB/cell.

***

Most stable of them? A).

***

A) Below is an optimized crystal structure of CsSb3As, with properties calculated at the PBE-GGA level.

Cell: 6.069 6.069 6.069 Å, 90.00 90.00 90.00°
Sites, in units of the cell vectors:
1 Cs 0.000 0.000 0.000
2 Sb 0.000 0.000 0.500
3 Sb 0.000 0.500 0.000
4 Sb 0.500 0.000 0.000
5 As 0.500 0.500 0.500

For the density of states at the Fermi level, the calculation gives 8.37 states/eV per cell. The total magnetization is 0.0 μB/cell.

***

B) Below is an optimized crystal structure of CsSb3As, with properties calculated at the PBE-GGA level.

Cell: 5.518 7.528 9.411 Å, 90.00 93.16 90.00°
Sites, in units of the cell vectors:
1 Cs 0.000 0.000 0.000
2 Cs 0.495 0.500 0.811
3 Sb 0.003 0.500 0.167
4 Sb 0.380 0.000 0.626
5 Sb 0.528 0.305 0.202
6 Sb 0.528 0.695 0.202
7 Sb 0.970 0.243 0.578
8 Sb 0.970 0.757 0.578
9 As 0.221 0.500 0.429
10 As 0.701 0.000 0.411

For the density of states at the Fermi level, the calculation gives 2.71 states/eV per cell. The total magnetization is 0.0 μB/cell.

***

Most stable of them? B).

***

A) Below is an optimized crystal structure of CsSb2As2, with properties calculated at the PBE-GGA level.

Cell: 7.288 7.869 8.175 Å, 77.99 63.92 62.43°
Sites, in units of the cell vectors:
1 Cs 0.126 0.249 0.250
2 Cs 0.874 0.751 0.750
3 Sb 0.233 0.032 0.750
4 Sb 0.486 0.531 0.249
5 Sb 0.514 0.469 0.751
6 Sb 0.767 0.968 0.250
7 As 0.245 0.749 0.008
8 As 0.497 0.249 0.508
9 As 0.503 0.751 0.492
10 As 0.755 0.251 0.992

For the density of states at the Fermi level, the calculation gives 5.51 states/eV per cell. The total magnetization is 0.0 μB/cell.

***

B) Below is an optimized crystal structure of CsSb2As2, with properties calculated at the PBE-GGA level.

Cell: 9.329 9.329 3.680 Å, 90.00 90.00 90.00°
Sites, in units of the cell vectors:
1 Cs 0.000 0.000 0.000
2 Cs 0.500 0.500 0.000
3 Sb 0.109 0.391 0.500
4 Sb 0.391 0.891 0.500
5 Sb 0.609 0.109 0.500
6 Sb 0.891 0.609 0.500
7 As 0.141 0.641 0.000
8 As 0.359 0.141 0.000
9 As 0.641 0.859 0.000
10 As 0.859 0.359 0.000

For the density of states at the Fermi level, the calculation gives 3.69 states/eV per cell. The total magnetization is 0.0 μB/cell.

***

C) Below is an optimized crystal structure of CsSb2As2, with properties calculated at the PBE-GGA level.

Cell: 5.249 5.249 12.383 Å, 90.00 90.00 90.00°
Sites, in units of the cell vectors:
1 Cs 0.000 0.000 0.000
2 Cs 0.500 0.500 0.500
3 Sb 0.000 0.000 0.335
4 Sb 0.000 0.000 0.665
5 Sb 0.500 0.500 0.165
6 Sb 0.500 0.500 0.835
7 As 0.000 0.500 0.250
8 As 0.000 0.500 0.750
9 As 0.500 0.000 0.250
10 As 0.500 0.000 0.750

For the density of states at the Fermi level, the calculation gives 2.57 states/eV per cell. The total magnetization is 0.0 μB/cell.

***

Most stable of them? C).

***

A) Below is an optimized crystal structure of Cs2SbAs2, with properties calculated at the PBE-GGA level.

Cell: 7.601 7.601 5.997 Å, 90.00 90.00 90.00°
Sites, in units of the cell vectors:
1 Cs 0.183 0.317 0.000
2 Cs 0.317 0.817 0.000
3 Cs 0.683 0.183 0.000
4 Cs 0.817 0.683 0.000
5 Sb 0.000 0.000 0.500
6 Sb 0.500 0.500 0.500
7 As 0.114 0.614 0.500
8 As 0.386 0.114 0.500
9 As 0.614 0.886 0.500
10 As 0.886 0.386 0.500

For the density of states at the Fermi level, the calculation gives 10.91 states/eV per cell. The total magnetization is 0.0 μB/cell.

***

B) Below is an optimized crystal structure of Cs2SbAs2, with properties calculated at the PBE-GGA level.

Cell: 6.665 6.665 12.611 Å, 112.79 112.79 53.89°
Sites, in units of the cell vectors:
1 Cs 0.075 0.075 0.380
2 Cs 0.345 0.345 0.820
3 Cs 0.655 0.655 0.180
4 Cs 0.925 0.925 0.620
5 Sb 0.319 0.319 0.111
6 Sb 0.681 0.681 0.889
7 As 0.069 0.069 0.951
8 As 0.368 0.368 0.327
9 As 0.632 0.632 0.673
10 As 0.931 0.931 0.049

For the density of states at the Fermi level, the calculation gives 1.80 states/eV per cell. The total magnetization is 0.0 μB/cell.

***

Most stable of them? B).

***

A) Below is an optimized crystal structure of Cs2Sb2As, with properties calculated at the PBE-GGA level.

Cell: 7.791 7.791 6.253 Å, 90.00 90.00 90.00°
Sites, in units of the cell vectors:
1 Cs 0.180 0.320 0.000
2 Cs 0.320 0.820 0.000
3 Cs 0.680 0.180 0.000
4 Cs 0.820 0.680 0.000
5 Sb 0.131 0.631 0.500
6 Sb 0.369 0.131 0.500
7 Sb 0.631 0.869 0.500
8 Sb 0.869 0.369 0.500
9 As 0.000 0.000 0.500
10 As 0.500 0.500 0.500

For the density of states at the Fermi level, the calculation gives 7.82 states/eV per cell. The total magnetization is 0.0 μB/cell.

***

B) Below is an optimized crystal structure of Cs2Sb2As, with properties calculated at the PBE-GGA level.

Cell: 7.274 7.274 9.511 Å, 100.73 100.73 59.04°
Sites, in units of the cell vectors:
1 Cs 0.055 0.248 0.164
2 Cs 0.248 0.055 0.664
3 Cs 0.752 0.945 0.336
4 Cs 0.945 0.752 0.836
5 Sb 0.310 0.486 0.512
6 Sb 0.486 0.310 0.012
7 Sb 0.514 0.690 0.988
8 Sb 0.690 0.514 0.488
9 As 0.386 0.614 0.250
10 As 0.614 0.386 0.750

For the density of states at the Fermi level, the calculation gives 7.42 states/eV per cell. The total magnetization is 0.0 μB/cell.

***

Most stable of them? B).

***

A) Below is an optimized crystal structure of CsSbAs3, with properties calculated at the PBE-GGA level.

Cell: 5.619 5.619 5.619 Å, 90.00 90.00 90.00°
Sites, in units of the cell vectors:
1 Cs 0.000 0.000 0.000
2 Sb 0.500 0.500 0.500
3 As 0.000 0.000 0.500
4 As 0.000 0.500 0.000
5 As 0.500 0.000 0.000

For the density of states at the Fermi level, the calculation gives 4.80 states/eV per cell. The total magnetization is 0.0 μB/cell.

***

B) Below is an optimized crystal structure of CsSbAs3, with properties calculated at the PBE-GGA level.

Cell: 5.486 5.486 5.486 Å, 90.00 90.00 90.00°
Sites, in units of the cell vectors:
1 Cs 0.000 0.000 0.000
2 Sb 0.500 0.500 0.500
3 As 0.000 0.500 0.500
4 As 0.500 0.000 0.500
5 As 0.500 0.500 0.000

For the density of states at the Fermi level, the calculation gives 7.45 states/eV per cell. The total magnetization is 0.0 μB/cell.

***

Most stable of them? B).

***

A) Below is an optimized crystal structure of CsSbTe2As, with properties calculated at the PBE-GGA level.

Cell: 5.837 5.837 5.408 Å, 90.00 90.00 90.00°
Sites, in units of the cell vectors:
1 Cs 0.000 0.000 0.000
2 Sb 0.500 0.500 0.000
3 Te 0.000 0.500 0.500
4 Te 0.500 0.000 0.500
5 As 0.500 0.500 0.500

For the density of states at the Fermi level, the calculation gives 4.38 states/eV per cell. The total magnetization is 0.6 μB/cell.

***

B) Below is an optimized crystal structure of CsSbTe2As, with properties calculated at the PBE-GGA level.

Cell: 6.314 6.314 6.356 Å, 90.00 90.00 90.00°
Sites, in units of the cell vectors:
1 Cs 0.000 0.000 0.000
2 Sb 0.000 0.000 0.500
3 Te 0.000 0.500 0.000
4 Te 0.500 0.000 0.000
5 As 0.500 0.500 0.500

For the density of states at the Fermi level, the calculation gives 9.84 states/eV per cell. The total magnetization is 0.3 μB/cell.

***

Most stable of them? A).

***

A) Below is an optimized crystal structure of CsSc3As, with properties calculated at the PBE-GGA level.

Cell: 5.216 5.216 5.216 Å, 90.00 90.00 90.00°
Sites, in units of the cell vectors:
1 Cs 0.000 0.000 0.000
2 Sc 0.000 0.000 0.500
3 Sc 0.000 0.500 0.000
4 Sc 0.500 0.000 0.000
5 As 0.500 0.500 0.500

For the density of states at the Fermi level, the calculation gives 5.96 states/eV per cell. The total magnetization is 0.0 μB/cell.

***

B) Below is an optimized crystal structure of CsSc3As, with properties calculated at the PBE-GGA level.

Cell: 5.358 5.358 5.358 Å, 90.00 90.00 90.00°
Sites, in units of the cell vectors:
1 Cs 0.000 0.000 0.000
2 Sc 0.000 0.500 0.500
3 Sc 0.500 0.000 0.500
4 Sc 0.500 0.500 0.000
5 As 0.500 0.500 0.500

For the density of states at the Fermi level, the calculation gives 7.51 states/eV per cell. The total magnetization is 3.3 μB/cell.

***

Most stable of them? B).